Density functional theory data (GGA-PBE) for a relaxed structure of CuReHgAs.

Output
The spin magnetization comes out at 1.8 μB per formula unit. For the total energy, the calculation gives -16.5 eV/cell.

Unit cell a=4.618 b=4.618 c=4.618 alpha=60.00 beta=60.00 gamma=60.00
Fractional positions:
Hg  0.250  0.250  0.250
Re  0.500  0.500  0.500
Cu  0.750  0.750  0.750
As  0.000  0.000  0.000